## SrPmNi10 (PBE-GGA)

Data for crystalline SrPmNi10 at its relaxed geometry.

Unit cell a=3.9511 b=5.0053 c=8.6615 alpha=90.00 beta=90.00 gamma=90.00
Space group Pmmm (No. 47)
Inequivalent atoms, fractional coordinates:
1 Sr 0.0000 0.0000 0.0000
2 Pm 0.0000 0.5000 0.5000
3 Ni 0.0000 0.0000 0.3383
4 Ni 0.0000 0.5000 0.1726
5 Ni 0.5000 0.0000 0.5000
6 Ni 0.5000 0.2533 0.2555
7 Ni 0.5000 0.5000 0.0000

Properties
**DFT formation energy**: -0.15 eV per atom